DFT (PBEsol) results for K4Na4NbW7O24 after structural relaxation.

Uncorrected formation energy   -2196 meV/atom

abc: 7.8262 7.8293 7.8293
angles: 90.00 90.00 90.00
Atoms (fractional coordinates):
O1 0.9961 0.7500 0.0000
O2 0.5045 0.0000 0.7502
O3 0.9961 0.7502 0.5000
O4 0.5052 0.5000 0.7549
O5 0.5052 0.2451 0.5000
O6 0.9961 0.0000 0.7500
O7 0.9961 0.2500 0.0000
O8 0.9961 0.2498 0.5000
O9 0.5045 0.7502 0.0000
O10 0.5045 0.0000 0.2498
O11 0.5052 0.7549 0.5000
O12 0.7502 0.0000 0.0000
O13 0.2501 0.5000 0.0000
O14 0.9961 0.5000 0.7502
O15 0.2449 0.5000 0.5000
O16 0.5052 0.5000 0.2451
O17 0.9961 0.5000 0.2498
O18 0.5045 0.2498 0.0000
O19 0.7506 0.5000 0.0000
O20 0.7547 0.5000 0.5000
O21 0.2502 0.0000 0.0000
O22 0.9961 0.0000 0.2500
O23 0.7506 0.0000 0.5000
O24 0.2501 0.0000 0.5000
Na1 0.7463 0.7460 0.7460
Na2 0.7463 0.7460 0.2540
Na3 0.7463 0.2540 0.7460
Na4 0.7463 0.2540 0.2540
K1 0.2510 0.2508 0.2508
K2 0.2510 0.7492 0.2508
K3 0.2510 0.2508 0.7492
K4 0.2510 0.7492 0.7492
Nb1 0.5018 0.5000 0.5000
W1 0.5024 0.0000 0.5000
W2 0.9985 0.5000 0.5000
W3 0.5026 0.0000 0.0000
W4 0.5024 0.5000 0.0000
W5 0.9978 0.0000 0.0000
W6 0.9981 0.0000 0.5000
W7 0.9981 0.5000 0.0000